No. 1
First-principles (PBE-GGA) data for an optimized crystal structure of HgSb2, as listed in the Alexandria database.

Lattice parameters (Å, degrees): 3.432 16.879 5.698 90.00 90.00 90.00
Space group Cmcm (No. 63)
One atom of each set of equivalent atoms:
Hg  0.000  0.249  0.250 [4 per cell]
Sb  0.000  0.080  0.750 [4 per cell]
Sb  0.000  0.422  0.750 [4 per cell]

Summary:
Magnetization = 0.00 μB per cell
Final energy = -0.0980 Ha/atom
N(E_F) = 3.7 states/eV/cell
Energy above the most stable polymorph in this dataset = 145.6 meV/atom
ΔE_f (raw) = 181 meV per atom

---

No. 2
First-principles (PBE-GGA) data for an optimized crystal structure of HgSb3, as listed in the Alexandria database.

Lattice parameters (Å, degrees): 3.160 4.306 8.463 90.00 90.00 90.00
Space group Pmm2 (No. 25)
One atom of each set of equivalent atoms:
Hg  0.000  0.000  0.000 [1 per cell]
Sb  0.000  0.500  0.251 [1 per cell]
Sb  0.500  0.000  0.498 [1 per cell]
Sb  0.500  0.500  0.748 [1 per cell]

Summary:
Magnetization = 0.00 μB per cell
Final energy = -0.1107 Ha/atom
N(E_F) = 2.5 states/eV/cell
Energy above the most stable polymorph in this dataset = 28.9 meV/atom
ΔE_f (raw) = 155 meV per atom